(1)
VASP calculation (GGA-PBE) on a relaxed structure of La3SnC.

The space group is C2/c (No. 15) and the conventional cell measures 8.963, 15.485 and 8.763 Å, with angles of 90.00, 97.50 and 90.00 degrees. The distinct sites, in fractional coordinates, are La at (0.045, 0.232, 0.457), La at (0.141, 0.460, 0.439), La at (0.226, 0.135, 0.836), Sn at (0.184, 0.342, 0.777), C at (0.000, 0.227, 0.750) and C at (0.000, 0.361, 0.250).

As for the total magnetization: 1.97 μB/cell. The density of states at the Fermi level comes out at 3.51 states/eV/f.u. For the formation energy, the calculation gives -0.10 eV per atom.



(2)
VASP calculation (GGA-PBE) on a relaxed structure of TlCd6Hg8.

The space group is P-3 (No. 147) and the conventional cell measures 9.1211, 9.1211 and 5.4231 Å, with angles of 90.00, 90.00 and 120.00 degrees. The distinct sites, in fractional coordinates, are Tl at (0.0000, 0.0000, 0.0000), Cd at (0.1217, 0.6509, 0.1601), Hg at (0.0193, 0.7262, 0.6589) and Hg at (0.3333, 0.6667, 0.6717).

As for the total magnetization: 0.00 μB/cell. The density of states at the Fermi level comes out at 6.34 states/eV/f.u. For the formation energy, the calculation gives 0.04 eV per atom.



(3)
VASP calculation (GGA-PBE) on a relaxed structure of K2LaMo.

The space group is Pmm2 (No. 25) and the conventional cell measures 3.442, 4.425 and 10.826 Å, with angles of 90.00, 90.00 and 90.00 degrees. The distinct sites, in fractional coordinates, are K at (0.000, 0.000, 0.000), K at (0.500, 0.500, 0.372), La at (0.500, 0.500, 0.698) and Mo at (0.000, 0.000, 0.662).

As for the total magnetization: 0.52 μB/cell. The density of states at the Fermi level comes out at 4.35 states/eV/f.u. For the formation energy, the calculation gives 0.77 eV per atom.



(4)
VASP calculation (GGA-PBE) on a relaxed structure of Fe2HgSe.

The space group is Pmmm (No. 47) and the conventional cell measures 3.040, 3.063 and 6.753 Å, with angles of 90.00, 90.00 and 90.00 degrees. The distinct sites, in fractional coordinates, are Fe at (0.000, 0.000, 0.205), Hg at (0.500, 0.500, 0.500) and Se at (0.500, 0.500, 0.000).

As for the total magnetization: 4.89 μB/cell. The density of states at the Fermi level comes out at 4.55 states/eV/f.u. For the uncorrected formation energy, the calculation gives 0.3495 eV per atom.



(5)
VASP calculation (GGA-PBE) on a relaxed structure of Ta2Cr4Si5.

The space group is Ibam (No. 72) and the conventional cell measures 7.437, 16.303 and 5.133 Å, with angles of 90.00, 90.00 and 90.00 degrees. The distinct sites, in fractional coordinates, are Ta at (0.000, 0.190, 0.250), Cr at (0.124, 0.355, 0.000), Cr at (0.250, 0.061, 0.000), Si at (0.000, 0.500, 0.250), Si at (0.091, 0.060, 0.500) and Si at (0.191, 0.297, 0.500).

As for the total magnetization: 12.54 μB/cell. The density of states at the Fermi level comes out at 7.84 states/eV/f.u. For the uncorrected formation energy, the calculation gives -0.1548 eV per atom.



(6)
VASP calculation (GGA-PBE) on a relaxed structure of Zr3NiMo.

The space group is Pm-3m (No. 221) and the conventional cell measures 4.995, 4.995 and 4.995 Å, with angles of 90.00, 90.00 and 90.00 degrees. The distinct sites, in fractional coordinates, are Zr at (0.000, 0.000, 0.500), Ni at (0.500, 0.500, 0.500) and Mo at (0.000, 0.000, 0.000).

As for the total magnetization: 0.00 μB/cell. The density of states at the Fermi level comes out at 8.77 states/eV/f.u. For the formation energy, the calculation gives 1.00 eV per atom.



(7)
VASP calculation (GGA-PBE) on a relaxed structure of SmRe4Si2.

The space group is P4_2/mnm (No. 136) and the conventional cell measures 7.452, 7.452 and 4.138 Å, with angles of 90.00, 90.00 and 90.00 degrees. The distinct sites, in fractional coordinates, are Sm at (0.000, 0.000, 0.000), Re at (0.092, 0.342, 0.500) and Si at (0.209, 0.791, 0.500).

As for the total magnetization: 0.00 μB/cell. The density of states at the Fermi level comes out at 4.91 states/eV/f.u. For the uncorrected formation energy, the calculation gives -0.4483 eV per atom.



(8)
VASP calculation (GGA-PBE) on a relaxed structure of RuRh2W.

The space group is F222 (No. 22) and the conventional cell measures 5.515, 5.525 and 7.612 Å, with angles of 90.00, 90.00 and 90.00 degrees. The distinct sites, in fractional coordinates, are Ru at (0.000, 0.000, 0.000), Rh at (0.000, 0.000, 0.500), Rh at (0.250, 0.250, 0.750) and W at (0.250, 0.250, 0.250).

As for the total magnetization: 0.00 μB/cell. The density of states at the Fermi level comes out at 3.40 states/eV/f.u. For the formation energy, the calculation gives -0.11 eV per atom.



(9)
VASP calculation (GGA-PBE) on a relaxed structure of AlIn2Hg2.

The space group is P4/mbm (No. 127) and the conventional cell measures 7.425, 7.425 and 4.784 Å, with angles of 90.00, 90.00 and 90.00 degrees. The distinct sites, in fractional coordinates, are Al at (0.000, 0.000, 0.000), In at (0.144, 0.356, 0.000) and Hg at (0.169, 0.669, 0.500).

As for the total magnetization: 0.00 μB/cell. The density of states at the Fermi level comes out at 1.80 states/eV/f.u. For the formation energy, the calculation gives 0.17 eV per atom.



(10)
VASP calculation (GGA-PBE) on a relaxed structure of Os3PtCl.

The space group is Pm-3m (No. 221) and the conventional cell measures 4.914, 4.914 and 4.914 Å, with angles of 90.00, 90.00 and 90.00 degrees. The distinct sites, in fractional coordinates, are Os at (0.000, 0.000, 0.500), Pt at (0.000, 0.000, 0.000) and Cl at (0.500, 0.500, 0.500).

As for the total magnetization: 8.04 μB/cell. The density of states at the Fermi level comes out at 4.50 states/eV/f.u. For the uncorrected formation energy, the calculation gives 2.6969 eV per atom.



(11)
VASP calculation (GGA-PBE) on a relaxed structure of DyErCu2Si2.

The space group is P-3m1 (No. 164) and the conventional cell measures 4.1512, 4.1512 and 7.3782 Å, with angles of 90.00, 90.00 and 120.00 degrees. The distinct sites, in fractional coordinates, are Dy at (0.0000, 0.0000, 0.0000), Er at (0.0000, 0.0000, 0.5000), Cu at (0.3333, 0.6667, 0.7453) and Si at (0.3333, 0.6667, 0.2525).

As for the total magnetization: 0.00 μB/cell. The density of states at the Fermi level comes out at 1.37 states/eV/f.u. For the uncorrected formation energy, the calculation gives -0.6722 eV per atom.



(12)
VASP calculation (GGA-PBE) on a relaxed structure of Y7In.

The space group is Fm-3m (No. 225) and the conventional cell measures 9.972, 9.972 and 9.972 Å, with angles of 90.00, 90.00 and 90.00 degrees. The distinct sites, in fractional coordinates, are Y at (0.000, 0.000, 0.000), Y at (0.000, 0.250, 0.250) and In at (0.000, 0.000, 0.500).

As for the total magnetization: 0.00 μB/cell. The density of states at the Fermi level comes out at 11.27 states/eV/f.u. For the formation energy, the calculation gives -0.08 eV per atom.



(13)
VASP calculation (GGA-PBE) on a relaxed structure of CrIrPb.

The space group is F-43m (No. 216) and the conventional cell measures 6.304, 6.304 and 6.304 Å, with angles of 90.00, 90.00 and 90.00 degrees. The distinct sites, in fractional coordinates, are Cr at (0.000, 0.000, 0.000), Ir at (0.250, 0.250, 0.250) and Pb at (0.000, 0.000, 0.500).

As for the total magnetization: 13.45 μB/cell. The density of states at the Fermi level comes out at 5.03 states/eV/f.u. For the formation energy, the calculation gives 0.44 eV per atom.



(14)
VASP calculation (GGA-PBE) on a relaxed structure of Ho6SbSe4.

The space group is Cmcm (No. 63) and the conventional cell measures 4.044, 13.199 and 20.715 Å, with angles of 90.00, 90.00 and 90.00 degrees. The distinct sites, in fractional coordinates, are Ho at (0.000, 0.000, 0.000), Ho at (0.000, 0.152, 0.250), Ho at (0.000, 0.269, 0.597), Ho at (0.000, 0.446, 0.164), Sb at (0.000, 0.175, 0.750), Se at (0.000, 0.084, 0.123) and Se at (0.000, 0.357, 0.036).

As for the total magnetization: 0.00 μB/cell. The density of states at the Fermi level comes out at 8.73 states/eV/f.u. For the uncorrected formation energy, the calculation gives -1.4602 eV per atom.



(15)
VASP calculation (GGA-PBE) on a relaxed structure of Ba2NpTe6Au2.

The space group is C2/m (No. 12) and the conventional cell measures 15.317, 6.757 and 9.226 Å, with angles of 90.00, 122.08 and 90.00 degrees. The distinct sites, in fractional coordinates, are Ba at (0.228, 0.000, 0.230), Np at (0.000, 0.000, 0.500), Te at (0.078, 0.249, 0.827), Te at (0.222, 0.000, 0.606) and Au at (0.075, 0.500, 0.217).

As for the total magnetization: 6.79 μB/cell. The density of states at the Fermi level comes out at 9.43 states/eV/f.u. For the uncorrected formation energy, the calculation gives -0.7324 eV per atom.



(16)
VASP calculation (GGA-PBE) on a relaxed structure of Cd2TcW.

The space group is Immm (No. 71) and the conventional cell measures 3.269, 4.430 and 9.654 Å, with angles of 90.00, 90.00 and 90.00 degrees. The distinct sites, in fractional coordinates, are Cd at (0.000, 0.000, 0.246), Tc at (0.000, 0.500, 0.500) and W at (0.000, 0.500, 0.000).

As for the total magnetization: 0.00 μB/cell. The density of states at the Fermi level comes out at 2.56 states/eV/f.u. For the formation energy, the calculation gives 0.57 eV per atom.



(17)
VASP calculation (GGA-PBE) on a relaxed structure of Co2OsPt.

The space group is C2/m (No. 12) and the conventional cell measures 8.545, 2.654 and 4.686 Å, with angles of 90.00, 99.62 and 90.00 degrees. The distinct sites, in fractional coordinates, are Co at (0.247, 0.000, 0.227), Os at (0.000, 0.500, 0.000) and Pt at (0.000, 0.000, 0.500).

As for the total magnetization: 4.92 μB/cell. The density of states at the Fermi level comes out at 5.61 states/eV/f.u. For the formation energy, the calculation gives 0.11 eV per atom.



(18)
VASP calculation (GGA-PBE) on a relaxed structure of AlCrGe.

The space group is F222 (No. 22) and the conventional cell measures 4.763, 8.208 and 8.601 Å, with angles of 90.00, 90.00 and 90.00 degrees. The distinct sites, in fractional coordinates, are Al at (0.000, 0.173, 0.000), Cr at (0.000, 0.000, 0.500), Cr at (0.250, 0.250, 0.750) and Ge at (0.250, 0.081, 0.250).

As for the total magnetization: 7.86 μB/cell. The density of states at the Fermi level comes out at 1.54 states/eV/f.u. For the formation energy, the calculation gives -0.08 eV per atom.



(19)
VASP calculation (GGA-PBE) on a relaxed structure of Li5ZnCd3.

The space group is P6_3/mcm (No. 193) and the conventional cell measures 8.1990, 8.1990 and 5.4982 Å, with angles of 90.00, 90.00 and 120.00 degrees. The distinct sites, in fractional coordinates, are Li at (0.0000, 0.2859, 0.2500), Li at (0.3333, 0.6667, 0.0000), Zn at (0.0000, 0.0000, 0.0000) and Cd at (0.0000, 0.3763, 0.7500).

As for the total magnetization: 0.00 μB/cell. The density of states at the Fermi level comes out at 3.79 states/eV/f.u. For the formation energy, the calculation gives -0.18 eV per atom.



(20)
VASP calculation (GGA-PBE) on a relaxed structure of Ca2NiPb.

The space group is I-42d (No. 122) and the conventional cell measures 8.304, 8.304 and 6.300 Å, with angles of 90.00, 90.00 and 90.00 degrees. The distinct sites, in fractional coordinates, are Ca at (0.186, 0.250, 0.125), Ni at (0.000, 0.000, 0.000) and Pb at (0.000, 0.000, 0.500).

As for the total magnetization: 0.00 μB/cell. The density of states at the Fermi level comes out at 2.08 states/eV/f.u. For the formation energy, the calculation gives 0.01 eV per atom.



(21)
VASP calculation (GGA-PBE) on a relaxed structure of SrCa3Rh.

The space group is Cmcm (No. 63) and the conventional cell measures 7.866, 21.199 and 7.400 Å, with angles of 90.00, 90.00 and 90.00 degrees. The distinct sites, in fractional coordinates, are Sr at (0.000, 0.170, 0.250), Ca at (0.000, 0.000, 0.000), Ca at (0.243, 0.136, 0.750) and Rh at (0.000, 0.296, 0.250).

As for the total magnetization: 0.00 μB/cell. The density of states at the Fermi level comes out at 3.65 states/eV/f.u. For the formation energy, the calculation gives 0.58 eV per atom.



(22)
VASP calculation (GGA-PBE) on a relaxed structure of K2Tl.

The space group is P-1 (No. 2) and the conventional cell measures 5.391, 7.310 and 9.321 Å, with angles of 109.63, 90.04 and 111.52 degrees. The distinct sites, in fractional coordinates, are K at (0.000, 0.000, 0.000), K at (0.244, 0.487, 0.811), K at (0.500, 0.000, 0.500) and Tl at (0.204, 0.407, 0.416).

As for the total magnetization: 0.00 μB/cell. The density of states at the Fermi level comes out at 1.69 states/eV/f.u. For the formation energy, the calculation gives -0.02 eV per atom.



(23)
VASP calculation (GGA-PBE) on a relaxed structure of YHo2Te3.

The space group is R-3c (No. 167, hexagonal axes) and the conventional cell measures 7.2551, 7.2551 and 23.1279 Å, with angles of 90.00, 90.00 and 120.00 degrees. The distinct sites, in fractional coordinates, are Y at (0.0000, 0.0000, 0.0000), Ho at (0.0000, 0.0000, 0.1664) and Te at (0.0000, 0.3316, 0.2500).

As for the total magnetization: 0.00 μB/cell. The density of states at the Fermi level comes out at 4.69 states/eV/f.u. For the uncorrected formation energy, the calculation gives -1.2897 eV per atom.